# 1
Below is MnTcRh2 after structural relaxation, with properties calculated at the PBE level.

a = 8.7899 Å, b = 8.7899 Å, c = 8.7899 Å
α = 18.00°, β = 18.00°, γ = 18.00°
Element x y z (fractional)
Mn1 0.0000 0.0000 0.0000
Tc1 0.5000 0.5000 0.5000
Rh1 0.2506 0.2506 0.2506
Rh2 0.7494 0.7494 0.7494

Summary:
energy above the lowest structure with this stoichiometry = 8.7 kJ/mol of atoms
DOS(E_F) = 4.48 states/eV per cell
ΔH_f (0 K) = -11 meV per atom


# 2
Below is CuNiIr after structural relaxation, with properties calculated at the PBE level.

a = 4.1364 Å, b = 4.1364 Å, c = 2.5650 Å
α = 90.00°, β = 90.00°, γ = 120.00°
Element x y z (fractional)
Cu1 0.0000 0.0000 0.0000
Ni1 0.3333 0.6667 0.9838
Ir1 0.6667 0.3333 0.4902

Summary:
energy above the lowest structure with this stoichiometry = 10.7 kJ/mol of atoms
DOS(E_F) = 4.10 states/eV per cell
ΔH_f (0 K) = 181 meV per atom


# 3
Below is La2CdH2 after structural relaxation, with properties calculated at the PBE level.

a = 3.7637 Å, b = 3.7637 Å, c = 7.4946 Å
α = 90.00°, β = 90.00°, γ = 90.00°
Element x y z (fractional)
La1 0.0000 0.0000 0.2213
La2 0.0000 0.0000 0.7787
Cd1 0.5000 0.5000 0.5000
H1 0.0000 0.5000 0.0000
H2 0.5000 0.0000 0.0000

Summary:
energy above the lowest structure with this stoichiometry = 19.3 kJ/mol of atoms
DOS(E_F) = 5.36 states/eV per cell


# 4
Below is RbTe6PdAu after structural relaxation, with properties calculated at the PBE level.

a = 9.5790 Å, b = 9.5790 Å, c = 9.5790 Å
α = 122.46°, β = 118.00°, γ = 89.64°
Element x y z (fractional)
Rb1 0.3843 0.1343 0.2500
Rb2 0.6157 0.8657 0.7500
Te1 0.1083 0.3992 0.2390
Te2 0.1083 0.8693 0.7091
Te3 0.1108 0.8608 0.2500
Te4 0.3398 0.1307 0.7390
Te5 0.3398 0.6008 0.2091
Te6 0.3457 0.5957 0.7500
Te7 0.6543 0.4043 0.2500
Te8 0.6602 0.3992 0.7909
Te9 0.6602 0.8693 0.2610
Te10 0.8892 0.1392 0.7500
Te11 0.8917 0.1307 0.2909
Te12 0.8917 0.6008 0.7610
Pd1 0.0000 0.0000 0.5000
Pd2 0.0000 0.5000 0.0000
Au1 0.0000 0.5000 0.5000
Au2 0.5000 0.5000 0.0000

Summary:
DOS(E_F) = 8.99 states/eV per cell
formation energy from raw total energies = -0.189 eV per atom


# 5
Below is La6Zn4Pd13 after structural relaxation, with properties calculated at the PBE level.

a = 8.4643 Å, b = 8.4643 Å, c = 8.4643 Å
α = 109.47°, β = 109.47°, γ = 109.47°
Element x y z (fractional)
La1 0.0000 0.3040 0.3040
La2 0.0000 0.6960 0.6960
La3 0.3040 0.0000 0.3040
La4 0.3040 0.3040 0.0000
La5 0.6960 0.0000 0.6960
La6 0.6960 0.6960 0.0000
Zn1 0.0000 0.0000 0.5000
Zn2 0.0000 0.5000 0.0000
Zn3 0.5000 0.0000 0.0000
Zn4 0.5000 0.5000 0.5000
Pd1 0.0000 0.0000 0.0000
Pd2 0.0000 0.3300 0.6700
Pd3 0.0000 0.6700 0.3300
Pd4 0.3300 0.0000 0.6700
Pd5 0.3300 0.3300 0.6600
Pd6 0.3300 0.6600 0.3300
Pd7 0.3300 0.6700 0.0000
Pd8 0.3400 0.6700 0.6700
Pd9 0.6600 0.3300 0.3300
Pd10 0.6700 0.0000 0.3300
Pd11 0.6700 0.3300 0.0000
Pd12 0.6700 0.3400 0.6700
Pd13 0.6700 0.6700 0.3400

Summary:
DOS(E_F) = 13.45 states/eV per cell
ΔH_f (0 K) = -806 meV per atom


# 6
Below is HoTl3I6 after structural relaxation, with properties calculated at the PBE level.

a = 8.2171 Å, b = 9.1256 Å, c = 14.0380 Å
α = 90.00°, β = 121.62°, γ = 90.00°
Element x y z (fractional)
Ho1 0.0000 0.0000 0.0000
Ho2 0.0000 0.5000 0.5000
Tl1 0.3082 0.0936 0.7715
Tl2 0.3082 0.4064 0.2715
Tl3 0.5000 0.0000 0.5000
Tl4 0.5000 0.5000 0.0000
Tl5 0.6918 0.5936 0.7285
Tl6 0.6918 0.9064 0.2285
I1 0.0894 0.0589 0.2350
I2 0.0894 0.4411 0.7350
I3 0.2341 0.7189 0.0789
I4 0.2341 0.7811 0.5789
I5 0.3541 0.1679 0.0499
I6 0.3541 0.3321 0.5499
I7 0.6459 0.6679 0.4501
I8 0.6459 0.8321 0.9501
I9 0.7659 0.2189 0.4211
I10 0.7659 0.2811 0.9211
I11 0.9106 0.5589 0.2650
I12 0.9106 0.9411 0.7650

Summary:
DOS(E_F) = 0.00 states/eV per cell
formation energy from raw total energies = -0.952 eV per atom


# 7
Below is LiMg4Rh after structural relaxation, with properties calculated at the PBE level.

a = 4.4393 Å, b = 4.4393 Å, c = 7.0733 Å
α = 90.07°, β = 90.07°, γ = 90.01°
Element x y z (fractional)
Li1 0.0000 0.0000 0.0000
Mg1 0.4994 0.0013 0.2892
Mg2 0.4991 0.0020 0.7116
Mg3 0.9980 0.5009 0.2884
Mg4 0.9987 0.5006 0.7108
Rh1 0.4988 0.5012 0.5000

Summary:
energy above the lowest structure with this stoichiometry = 22.1 kJ/mol of atoms
DOS(E_F) = 4.32 states/eV per cell
ΔH_f (0 K) = -17 meV per atom


# 8
Below is V2CrCl after structural relaxation, with properties calculated at the PBE level.

a = 4.2692 Å, b = 4.2692 Å, c = 4.2692 Å
α = 60.00°, β = 60.00°, γ = 60.00°
Element x y z (fractional)
V1 0.2500 0.2500 0.2500
V2 0.7500 0.7500 0.7500
Cr1 0.0000 0.0000 0.0000
Cl1 0.5000 0.5000 0.5000

Summary:
energy above the lowest structure with this stoichiometry = 1.3 kJ/mol of atoms
DOS(E_F) = 4.38 states/eV per cell
formation energy from raw total energies = 0.718 eV per atom


# 9
Below is K2NaBiCl6 after structural relaxation, with properties calculated at the PBE level.

a = 7.6953 Å, b = 7.6953 Å, c = 7.6953 Å
α = 60.00°, β = 60.00°, γ = 60.00°
Element x y z (fractional)
K1 0.2500 0.2500 0.2500
K2 0.7500 0.7500 0.7500
Na1 0.0000 0.0000 0.0000
Bi1 0.5000 0.5000 0.5000
Cl1 0.2514 0.2514 0.7486
Cl2 0.2514 0.7486 0.2514
Cl3 0.2514 0.7486 0.7486
Cl4 0.7486 0.2514 0.2514
Cl5 0.7486 0.2514 0.7486
Cl6 0.7486 0.7486 0.2514

Summary:
DOS(E_F) = 0.00 states/eV per cell
formation energy from raw total energies = -1.528 eV per atom


# 10
Below is GdLuAgPd after structural relaxation, with properties calculated at the PBE level.

a = 5.0258 Å, b = 5.0258 Å, c = 5.0258 Å
α = 60.00°, β = 60.00°, γ = 60.00°
Element x y z (fractional)
Gd1 0.0000 0.0000 0.0000
Lu1 0.5000 0.5000 0.5000
Ag1 0.2500 0.2500 0.2500
Pd1 0.7500 0.7500 0.7500

Summary:
DOS(E_F) = 3.43 states/eV per cell
ΔH_f (0 K) = -588 meV per atom


# 11
Below is Tl2CoNi after structural relaxation, with properties calculated at the PBE level.

a = 4.5877 Å, b = 4.5877 Å, c = 4.5877 Å
α = 60.00°, β = 60.00°, γ = 60.00°
Element x y z (fractional)
Tl1 0.2500 0.2500 0.2500
Tl2 0.7500 0.7500 0.7500
Co1 0.0000 0.0000 0.0000
Ni1 0.5000 0.5000 0.5000

Summary:
energy above the lowest structure with this stoichiometry = 8.8 kJ/mol of atoms
DOS(E_F) = 2.27 states/eV per cell
ΔH_f (0 K) = 487 meV per atom


# 12
Below is TbPmGeRu after structural relaxation, with properties calculated at the PBE level.

a = 3.8852 Å, b = 5.9438 Å, c = 5.9438 Å
α = 42.59°, β = 90.00°, γ = 90.00°
Element x y z (fractional)
Tb1 0.0000 0.0000 0.0000
Pm1 0.5000 0.2807 0.2807
Ge1 0.0000 0.6975 0.6975
Ru1 0.5000 0.5476 0.5476

Summary:
energy above the lowest structure with this stoichiometry = 0.0 kJ/mol of atoms
DOS(E_F) = 1.94 states/eV per cell
ΔH_f (0 K) = -587 meV per atom


# 13
Below is In2ReSb after structural relaxation, with properties calculated at the PBE level.

a = 3.0662 Å, b = 3.2387 Å, c = 9.0667 Å
α = 90.00°, β = 90.00°, γ = 90.00°
Element x y z (fractional)
In1 0.0000 0.0000 0.1958
In2 0.0000 0.0000 0.8042
Re1 0.5000 0.5000 0.0000
Sb1 0.0000 0.5000 0.5000

Summary:
DOS(E_F) = 3.19 states/eV per cell
formation energy from raw total energies = 0.465 eV per atom


# 14
Below is BaAlAu after structural relaxation, with properties calculated at the PBE level.

a = 5.3496 Å, b = 5.3496 Å, c = 5.3496 Å
α = 60.00°, β = 60.00°, γ = 60.00°
Element x y z (fractional)
Ba1 0.0000 0.0000 0.0000
Al1 0.2500 0.2500 0.2500
Au1 0.7500 0.7500 0.7500

Summary:
DOS(E_F) = 3.20 states/eV per cell
ΔH_f (0 K) = 276 meV per atom


# 15
Below is LaGdHgOs after structural relaxation, with properties calculated at the PBE level.

a = 5.1667 Å, b = 5.1667 Å, c = 5.1667 Å
α = 60.00°, β = 60.00°, γ = 60.00°
Element x y z (fractional)
La1 0.0000 0.0000 0.0000
Gd1 0.5000 0.5000 0.5000
Hg1 0.7500 0.7500 0.7500
Os1 0.2500 0.2500 0.2500

Summary:
DOS(E_F) = 3.00 states/eV per cell
ΔH_f (0 K) = -166 meV per atom


# 16
Below is LiLuSi after structural relaxation, with properties calculated at the PBE level.

a = 4.5705 Å, b = 4.5705 Å, c = 4.5705 Å
α = 60.00°, β = 60.00°, γ = 60.00°
Element x y z (fractional)
Li1 0.0000 0.0000 0.0000
Lu1 0.5000 0.5000 0.5000
Si1 0.7500 0.7500 0.7500

Summary:
formation energy from raw total energies = -0.401 eV per atom


# 17
Below is AcTm2Ag3 after structural relaxation, with properties calculated at the PBE level.

a = 3.6862 Å, b = 3.6862 Å, c = 11.2500 Å
α = 90.00°, β = 90.00°, γ = 90.00°
Element x y z (fractional)
Ac1 0.0000 0.0000 0.0000
Tm1 0.0000 0.0000 0.3441
Tm2 0.0000 0.0000 0.6559
Ag1 0.5000 0.5000 0.2002
Ag2 0.5000 0.5000 0.5000
Ag3 0.5000 0.5000 0.7998

Summary:
DOS(E_F) = 3.12 states/eV per cell
ΔH_f (0 K) = -297 meV per atom


# 18
Below is NaFe2Ni after structural relaxation, with properties calculated at the PBE level.

a = 9.2874 Å, b = 9.2874 Å, c = 9.2874 Å
α = 157.18°, β = 157.18°, γ = 32.50°
Element x y z (fractional)
Na1 0.0000 0.0000 0.0000
Na2 0.7500 0.2500 0.5000
Fe1 0.1656 0.6250 0.0406
Fe2 0.3750 0.4156 0.5406
Fe3 0.5844 0.1250 0.9594
Fe4 0.8750 0.8344 0.4594
Ni1 0.2500 0.7500 0.5000
Ni2 0.5000 0.5000 0.0000

Summary:
DOS(E_F) = 7.00 states/eV per cell
ΔH_f (0 K) = 856 meV per atom


# 19
Below is Ti2Mn2Pt after structural relaxation, with properties calculated at the PBE level.

a = 7.0146 Å, b = 7.0146 Å, c = 3.0028 Å
α = 90.00°, β = 90.00°, γ = 90.00°
Element x y z (fractional)
Ti1 0.1473 0.3527 0.0000
Ti2 0.3527 0.8527 0.0000
Ti3 0.6473 0.1473 0.0000
Ti4 0.8527 0.6473 0.0000
Mn1 0.1488 0.6488 0.5000
Mn2 0.3512 0.1488 0.5000
Mn3 0.6488 0.8512 0.5000
Mn4 0.8512 0.3512 0.5000
Pt1 0.0000 0.0000 0.0000
Pt2 0.5000 0.5000 0.0000

Summary:
energy above the lowest structure with this stoichiometry = 30.7 kJ/mol of atoms
DOS(E_F) = 12.25 states/eV per cell
ΔH_f (0 K) = -16 meV per atom


# 20
Below is Pm5DyTm after structural relaxation, with properties calculated at the PBE level.

a = 6.3320 Å, b = 6.3320 Å, c = 13.3199 Å
α = 93.42°, β = 93.42°, γ = 63.17°
Element x y z (fractional)
Pm1 0.2433 0.7567 0.7500
Pm2 0.2446 0.2642 0.1583
Pm3 0.2642 0.2446 0.6583
Pm4 0.3251 0.3415 0.4212
Pm5 0.3415 0.3251 0.9212
Pm6 0.6585 0.6749 0.0788
Pm7 0.6749 0.6585 0.5788
Pm8 0.7358 0.7554 0.3417
Pm9 0.7554 0.7358 0.8417
Pm10 0.7567 0.2433 0.2500
Dy1 0.2292 0.7708 0.2500
Dy2 0.7708 0.2292 0.7500
Tm1 0.0000 0.0000 0.0000
Tm2 0.0000 0.0000 0.5000

Summary:
DOS(E_F) = 19.78 states/eV per cell
ΔH_f (0 K) = 156 meV per atom


no.,total magnetization (Bohr magnetons per cell)
1,3.202
2,1.279
3,0.001
4,0.000
5,0.000
6,0.000
7,0.000
8,0.650
9,0.000
10,7.193
11,1.237
12,0.000
13,0.000
14,0.000
15,7.055
16,0.000
17,0.000
18,12.325
19,7.308
20,0.000